A relaxed structure of PtPbSe4. Source: the Alexandria database, functional PBE.

```
data_PtPbSe4
_chemical_formula_sum 'Pt4 Pb4 Se16'
_cell_length_a 8.121
_cell_length_b 8.121
_cell_length_c 8.121
_cell_angle_alpha 90.00
_cell_angle_beta 90.00
_cell_angle_gamma 90.00
_symmetry_space_group_name_H-M 'F -4 3 m'
_symmetry_Int_Tables_number 216
_symmetry_space_group_name_Hall 'F -4 2 3'
loop_
_atom_site_label
_atom_site_fract_x
_atom_site_fract_y
_atom_site_fract_z
_atom_site_occupancy
Pt1 0.000 0.000 0.000 1
Pb1 0.250 0.250 0.250 1
Se1 0.128 0.128 0.628 1
```

- E_tot: -3.34 eV/atom
- Magnetization: 0.000 μB per formula unit
- E_form (uncorrected): 0.6097 eV/atom